Record 1
# TeAs2Pt, optimized geometry, DFT GGA-PBE
# Total magnetic moment   0.00 μB/f.u.
# Total DFT energy (no corrections)   -4.50 eV per atom
# Calculated volume   91.3 Å³ per cell
# Crystal system   monoclinic
data_TeAs2Pt
_space_group_name_H-M_alt 'P 1'
_space_group_IT_number 1
_cell_length_a 6.152
_cell_length_b 6.152
_cell_length_c 4.586
_cell_angle_alpha 111.79
_cell_angle_beta 111.79
_cell_angle_gamma 34.82
loop_
_space_group_symop_operation_xyz
'x,y,z'
loop_
_atom_site_label
_atom_site_fract_x
_atom_site_fract_y
_atom_site_fract_z
Te1 0.000 0.000 0.000
As1 0.170 0.170 0.670
As2 0.830 0.830 0.330
Pt1 0.500 0.500 0.500

***

Record 2
# Ba2TlIn3Ga4, optimized geometry, DFT GGA-PBE
# Total magnetic moment   0.00 μB/f.u.
# Total DFT energy (no corrections)   -3.01 eV per atom
# Energy of formation from the pure elements   -0.355 eV per atom
# Calculated volume   277.3 Å³ per cell
# Crystal system   tetragonal
data_Ba2TlIn3Ga4
_space_group_name_H-M_alt 'P 1'
_space_group_IT_number 1
_cell_length_a 4.943
_cell_length_b 4.943
_cell_length_c 11.347
_cell_angle_alpha 90.00
_cell_angle_beta 90.00
_cell_angle_gamma 90.00
loop_
_space_group_symop_operation_xyz
'x,y,z'
loop_
_atom_site_label
_atom_site_fract_x
_atom_site_fract_y
_atom_site_fract_z
Ba1 0.000 0.500 0.241
Ba2 0.500 0.000 0.759
Tl1 0.000 0.000 0.500
In1 0.000 0.500 0.877
In2 0.500 0.000 0.123
In3 0.500 0.500 0.500
Ga1 0.000 0.000 0.000
Ga2 0.000 0.500 0.634
Ga3 0.500 0.000 0.366
Ga4 0.500 0.500 0.000

***

Record 3
# Hf2FeSi, optimized geometry, DFT GGA-PBE
# Total magnetic moment   0.00 μB/f.u.
# Total DFT energy (no corrections)   -8.98 eV per atom
# Calculated volume   135.3 Å³ per cell
# Crystal system   orthorhombic
data_Hf2FeSi
_space_group_name_H-M_alt 'P 1'
_space_group_IT_number 1
_cell_length_a 3.816
_cell_length_b 6.684
_cell_length_c 5.307
_cell_angle_alpha 90.00
_cell_angle_beta 90.00
_cell_angle_gamma 90.00
loop_
_space_group_symop_operation_xyz
'x,y,z'
loop_
_atom_site_label
_atom_site_fract_x
_atom_site_fract_y
_atom_site_fract_z
Hf1 0.000 0.058 0.000
Hf2 0.000 0.597 0.227
Hf3 0.500 0.403 0.727
Hf4 0.500 0.942 0.500
Fe1 0.000 0.218 0.498
Fe2 0.500 0.782 0.998
Si1 0.000 0.701 0.727
Si2 0.500 0.299 0.227

***

Record 4
# ScAlGa, optimized geometry, DFT GGA-PBE
# Total magnetic moment   0.00 μB/f.u.
# Total DFT energy (no corrections)   -4.86 eV per atom
# Energy of formation from the pure elements   -0.490 eV per atom
# Calculated volume   109.4 Å³ per cell
# Crystal system   orthorhombic
data_ScAlGa
_space_group_name_H-M_alt 'P 1'
_space_group_IT_number 1
_cell_length_a 6.609
_cell_length_b 6.609
_cell_length_c 4.218
_cell_angle_alpha 90.00
_cell_angle_beta 90.00
_cell_angle_gamma 143.59
loop_
_space_group_symop_operation_xyz
'x,y,z'
loop_
_atom_site_label
_atom_site_fract_x
_atom_site_fract_y
_atom_site_fract_z
Sc1 0.153 0.847 0.000
Sc2 0.847 0.153 0.000
Al1 0.325 0.675 0.500
Al2 0.675 0.325 0.500
Ga1 0.000 0.000 0.500
Ga2 0.500 0.500 0.000

***

Record 5
# Sc3BTe, optimized geometry, DFT GGA-PBE
# Total magnetic moment   0.00 μB/f.u.
# Total DFT energy (no corrections)   -6.34 eV per atom
# Calculated volume   100.6 Å³ per cell
# E above lowest polymorph   0.000 eV/atom
# Crystal system   cubic
data_Sc3BTe
_space_group_name_H-M_alt 'P 1'
_space_group_IT_number 1
_cell_length_a 4.651
_cell_length_b 4.651
_cell_length_c 4.651
_cell_angle_alpha 90.00
_cell_angle_beta 90.00
_cell_angle_gamma 90.00
loop_
_space_group_symop_operation_xyz
'x,y,z'
loop_
_atom_site_label
_atom_site_fract_x
_atom_site_fract_y
_atom_site_fract_z
Sc1 0.000 0.000 0.500
Sc2 0.000 0.500 0.000
Sc3 0.500 0.000 0.000
B1 0.000 0.000 0.000
Te1 0.500 0.500 0.500

***

Record 6
# Nd4Cd3Ni, optimized geometry, DFT GGA-PBE
# Total magnetic moment   0.27 μB/f.u.
# Total DFT energy (no corrections)   -3.73 eV per atom
# Energy of formation from the pure elements   -0.285 eV per atom
# Calculated volume   214.6 Å³ per cell
# Crystal system   tetragonal
data_Nd4Cd3Ni
_space_group_name_H-M_alt 'P 1'
_space_group_IT_number 1
_cell_length_a 3.703
_cell_length_b 3.703
_cell_length_c 15.649
_cell_angle_alpha 90.00
_cell_angle_beta 90.00
_cell_angle_gamma 90.00
loop_
_space_group_symop_operation_xyz
'x,y,z'
loop_
_atom_site_label
_atom_site_fract_x
_atom_site_fract_y
_atom_site_fract_z
Nd1 0.000 0.000 0.104
Nd2 0.000 0.000 0.369
Nd3 0.000 0.000 0.631
Nd4 0.000 0.000 0.896
Cd1 0.500 0.500 0.240
Cd2 0.500 0.500 0.500
Cd3 0.500 0.500 0.760
Ni1 0.500 0.500 0.000

***

Record 7
# Li3AuO, optimized geometry, DFT GGA-PBE
# Total magnetic moment   0.00 μB/f.u.
# Total DFT energy (no corrections)   -4.01 eV per atom
# Calculated volume   62.2 Å³ per cell
# E above lowest polymorph   0.007 eV/atom
# Crystal system   cubic
data_Li3AuO
_space_group_name_H-M_alt 'P 1'
_space_group_IT_number 1
_cell_length_a 3.962
_cell_length_b 3.962
_cell_length_c 3.962
_cell_angle_alpha 90.00
_cell_angle_beta 90.00
_cell_angle_gamma 90.00
loop_
_space_group_symop_operation_xyz
'x,y,z'
loop_
_atom_site_label
_atom_site_fract_x
_atom_site_fract_y
_atom_site_fract_z
Li1 0.000 0.000 0.500
Li2 0.000 0.500 0.000
Li3 0.500 0.000 0.000
Au1 0.500 0.500 0.500
O1 0.000 0.000 0.000

***

Record 8
# Mn2CoPdI, optimized geometry, DFT GGA-PBE
# Total magnetic moment   0.26 μB/f.u.
# Total DFT energy (no corrections)   -4.63 eV per atom
# Calculated volume   96.0 Å³ per cell
# Crystal system   tetragonal
data_Mn2CoPdI
_space_group_name_H-M_alt 'P 1'
_space_group_IT_number 1
_cell_length_a 4.601
_cell_length_b 4.601
_cell_length_c 4.533
_cell_angle_alpha 90.00
_cell_angle_beta 90.00
_cell_angle_gamma 90.00
loop_
_space_group_symop_operation_xyz
'x,y,z'
loop_
_atom_site_label
_atom_site_fract_x
_atom_site_fract_y
_atom_site_fract_z
Mn1 0.000 0.500 0.000
Mn2 0.500 0.000 0.000
Co1 0.000 0.000 0.500
Pd1 0.500 0.500 0.500
I1 0.000 0.000 0.000